(1)
Below is a geometry-optimized KGdCo structure, with properties calculated at the PBE level.

Computed properties:
V: 27.87 A^3/atom
Total DFT energy (no corrections): -10.2 eV per cell
M_tot: 0.14 μB/atom

Lattice parameters (Å, degrees): 4.908 4.908 4.908 60.00 60.00 60.00
Positions (direct):
K  0.000  0.000  0.000
Gd  0.500  0.500  0.500
Co  0.750  0.750  0.750

***

(2)
Below is a geometry-optimized KSmGdCo2 structure, with properties calculated at the PBE level.

Computed properties:
V: 28.29 A^3/atom
Total DFT energy (no corrections): -24.4 eV per cell
M_tot: 0.26 μB/atom

Lattice parameters (Å, degrees): 3.923 9.306 9.306 24.61 90.00 90.00
Positions (direct):
K  0.000  0.000  0.000
Sm  0.500  0.668  0.668
Gd  0.500  0.334  0.334
Co  0.000  0.225  0.225
Co  0.000  0.781  0.781